Density functional theory data (PBE) for a relaxed Ca3ZnGe6Pd2 crystal. Values from VASP.

Results
E_form = -0.25 eV per atom
DOS(E_F) = 7.0 states/eV/cell

Cell and atoms, written as Quantum ESPRESSO input:
```
&SYSTEM
  ibrav = 0, nat = 12, ntyp = 4
/
ATOMIC_SPECIES
Ca 40.08 Ca.upf
Ge 72.64 Ge.upf
Pd 106.42 Pd.upf
Zn 65.41 Zn.upf
ATOMIC_POSITIONS crystal
Ca 0.000 0.000 0.000
Ge 0.626 0.813 0.274
Ge 0.187 0.813 0.274
Ge 0.187 0.374 0.274
Pd 0.333 0.667 0.015
Zn 0.000 0.000 0.500
Ge 0.813 0.187 0.726
Ca 0.667 0.333 0.386
Pd 0.667 0.333 0.985
Ge 0.374 0.187 0.726
Ge 0.813 0.626 0.726
Ca 0.333 0.667 0.614
CELL_PARAMETERS angstrom
-0.489 4.791 -3.512
0.228 -5.449 -2.406
-8.317 -0.537 0.427
```

Density functional theory data (PBE) for a relaxed Li2NdBiSe4 crystal. Values from VASP.

Results
raw total energy = -35.94 eV per cell
DOS(E_F) = 0.0 states/eV/cell

Cell and atoms, written as Quantum ESPRESSO input:
```
&SYSTEM
  ibrav = 0, nat = 8, ntyp = 4
/
ATOMIC_SPECIES
Se 78.96 Se.upf
Li 6.94 Li.upf
Bi 208.98 Bi.upf
Nd 144.24 Nd.upf
ATOMIC_POSITIONS crystal
Se 0.000 0.764 0.747
Se 0.500 0.761 0.245
Li 0.500 0.000 0.500
Se 0.500 0.239 0.755
Se 0.000 0.236 0.253
Bi 0.500 0.500 0.000
Nd 0.000 0.500 0.500
Li 0.000 0.000 0.000
CELL_PARAMETERS angstrom
4.179 0.000 0.000
0.000 6.998 -0.062
0.000 2.545 6.768
```

Density functional theory data (PBE) for a relaxed CeTiV2 crystal. Values from VASP.

Results
E_form = 0.31 eV per atom
DOS(E_F) = 8.1 states/eV/cell

Cell and atoms, written as Quantum ESPRESSO input:
```
&SYSTEM
  ibrav = 0, nat = 4, ntyp = 3
/
ATOMIC_SPECIES
V 50.94 V.upf
Ce 140.12 Ce.upf
Ti 47.87 Ti.upf
ATOMIC_POSITIONS crystal
V 0.000 0.000 0.241
Ce 0.500 0.500 0.500
Ti 0.500 0.500 0.000
V 0.000 0.000 0.759
CELL_PARAMETERS angstrom
-1.402 1.587 2.448
-2.902 -0.478 -1.352
-0.601 -5.545 3.249
```

Density functional theory data (PBE) for a relaxed Hf2Sc3Hg3 crystal. Values from VASP.

Results
E_form = -0.25 eV per atom
DOS(E_F) = 7.1 states/eV/cell

Cell and atoms, written as Quantum ESPRESSO input:
```
&SYSTEM
  ibrav = 0, nat = 8, ntyp = 3
/
ATOMIC_SPECIES
Sc 44.96 Sc.upf
Hg 200.59 Hg.upf
Hf 178.49 Hf.upf
ATOMIC_POSITIONS crystal
Sc 0.632 0.632 0.264
Hg 0.117 0.117 0.233
Hg 0.883 0.883 0.767
Sc 0.500 0.000 0.000
Sc 0.368 0.368 0.736
Hf 0.736 0.236 0.472
Hg 0.000 0.500 0.000
Hf 0.264 0.764 0.528
CELL_PARAMETERS angstrom
-1.347 -1.524 -2.671
-2.034 -3.482 3.013
-6.916 8.382 0.814
```

Density functional theory data (PBE) for a relaxed CdMoPbCl2 crystal. Values from VASP.

Results
raw total energy = -16.61 eV per cell
DOS(E_F) = 2.1 states/eV/cell

Cell and atoms, written as Quantum ESPRESSO input:
```
&SYSTEM
  ibrav = 0, nat = 5, ntyp = 4
/
ATOMIC_SPECIES
Pb 207.20 Pb.upf
Cl 35.45 Cl.upf
Cd 112.41 Cd.upf
Mo 95.94 Mo.upf
ATOMIC_POSITIONS crystal
Pb 0.000 0.000 0.000
Cl 0.500 0.000 0.000
Cl 0.000 0.000 0.500
Cd 0.500 0.500 0.500
Mo 0.000 0.500 0.000
CELL_PARAMETERS angstrom
-2.452 1.392 -4.755
-4.388 -3.693 1.182
-2.718 4.058 2.590
```

Density functional theory data (PBE) for a relaxed Ba2ScAuO4 crystal. Values from VASP.

Results
raw total energy = -50.26 eV per cell

Cell and atoms, written as Quantum ESPRESSO input:
```
&SYSTEM
  ibrav = 0, nat = 8, ntyp = 4
/
ATOMIC_SPECIES
Au 196.97 Au.upf
O 16.00 O.upf
Sc 44.96 Sc.upf
Ba 137.33 Ba.upf
ATOMIC_POSITIONS crystal
Au 0.000 0.500 0.500
O 0.849 0.582 0.102
O 0.521 0.267 0.418
Sc 0.500 0.250 0.750
O 0.479 0.898 0.746
Ba 0.500 0.750 0.250
Ba 0.000 0.000 0.000
O 0.151 0.254 0.733
CELL_PARAMETERS angstrom
-5.470 2.000 0.098
0.177 -5.821 0.123
3.005 1.691 4.694
```

Density functional theory data (PBE) for a relaxed DyTmPt2 crystal. Values from VASP.

Results
E_form = -1.25 eV per atom
DOS(E_F) = 2.1 states/eV/cell

Cell and atoms, written as Quantum ESPRESSO input:
```
&SYSTEM
  ibrav = 0, nat = 4, ntyp = 3
/
ATOMIC_SPECIES
Tm 168.93 Tm.upf
Pt 195.08 Pt.upf
Dy 162.50 Dy.upf
ATOMIC_POSITIONS crystal
Tm 0.500 0.000 0.000
Pt 0.000 0.000 0.500
Dy 0.500 0.500 0.500
Pt 0.000 0.500 0.000
CELL_PARAMETERS angstrom
3.442 0.000 0.000
0.000 4.929 0.000
0.000 0.000 4.929
```

Density functional theory data (PBE) for a relaxed LiMn3Pd6 crystal. Values from VASP.

Results
E_form = -0.26 eV per atom
DOS(E_F) = 6.5 states/eV/cell

Cell and atoms, written as Quantum ESPRESSO input:
```
&SYSTEM
  ibrav = 0, nat = 20, ntyp = 3
/
ATOMIC_SPECIES
Pd 106.42 Pd.upf
Li 6.94 Li.upf
Mn 54.94 Mn.upf
ATOMIC_POSITIONS crystal
Pd 0.250 0.070 0.869
Pd 0.250 0.153 0.179
Pd 0.750 0.152 0.705
Pd 0.250 0.461 0.081
Pd 0.750 0.340 0.319
Li 0.750 0.045 0.416
Pd 0.750 0.847 0.821
Pd 0.250 0.251 0.492
Mn 0.750 0.221 0.013
Pd 0.750 0.930 0.131
Pd 0.750 0.749 0.508
Mn 0.750 0.634 0.217
Mn 0.250 0.366 0.783
Mn 0.250 0.779 0.987
Li 0.250 0.955 0.584
Pd 0.750 0.539 0.919
Mn 0.750 0.458 0.616
Pd 0.250 0.660 0.681
Mn 0.250 0.542 0.384
Pd 0.250 0.848 0.295
CELL_PARAMETERS angstrom
-2.908 -2.567 -2.250
4.887 -0.710 -5.508
1.247 -6.998 6.373
```

Density functional theory data (PBE) for a relaxed PmSi2Mo4 crystal. Values from VASP.

Results
raw total energy = -60.36 eV per cell
DOS(E_F) = 6.7 states/eV/cell

Cell and atoms, written as Quantum ESPRESSO input:
```
&SYSTEM
  ibrav = 0, nat = 7, ntyp = 3
/
ATOMIC_SPECIES
Mo 95.94 Mo.upf
Si 28.09 Si.upf
Pm 145.00 Pm.upf
ATOMIC_POSITIONS crystal
Mo 0.500 0.807 0.614
Si 0.500 0.595 0.190
Mo 0.000 0.697 0.394
Mo 0.000 0.303 0.606
Pm 0.000 0.000 0.000
Si 0.500 0.405 0.810
Mo 0.500 0.193 0.386
CELL_PARAMETERS angstrom
-1.388 -0.286 4.159
3.597 -2.377 1.037
1.436 6.720 0.941
```

Density functional theory data (PBE) for a relaxed TiSbPdI2 crystal. Values from VASP.

Results
raw total energy = -18.47 eV per cell
DOS(E_F) = 5.4 states/eV/cell

Cell and atoms, written as Quantum ESPRESSO input:
```
&SYSTEM
  ibrav = 0, nat = 5, ntyp = 4
/
ATOMIC_SPECIES
I 126.90 I.upf
Pd 106.42 Pd.upf
Ti 47.87 Ti.upf
Sb 121.76 Sb.upf
ATOMIC_POSITIONS crystal
I 0.000 0.500 0.000
Pd 0.500 0.500 0.500
Ti 0.000 0.000 0.000
I 0.500 0.000 0.000
Sb 0.000 0.000 0.500
CELL_PARAMETERS angstrom
-3.887 -3.498 1.245
3.196 -2.234 3.701
-1.907 3.445 3.726
```

Density functional theory data (PBE) for a relaxed LiY2Al3 crystal. Values from VASP.

Results
E_form = -0.38 eV per atom
DOS(E_F) = 7.9 states/eV/cell

Cell and atoms, written as Quantum ESPRESSO input:
```
&SYSTEM
  ibrav = 0, nat = 12, ntyp = 3
/
ATOMIC_SPECIES
Y 88.91 Y.upf
Li 6.94 Li.upf
Al 26.98 Al.upf
ATOMIC_POSITIONS crystal
Y 0.250 0.750 0.500
Y 0.750 0.250 0.500
Li 0.332 0.332 0.664
Al 0.835 0.332 0.168
Li 0.668 0.668 0.336
Y 0.254 0.254 0.000
Y 0.746 0.746 0.000
Al 0.332 0.835 0.168
Al 0.668 0.165 0.832
Al 0.165 0.668 0.832
Al 0.166 0.166 0.332
Al 0.834 0.834 0.668
CELL_PARAMETERS angstrom
5.768 -0.647 0.000
-0.871 5.739 0.000
-2.449 -2.546 7.985
```

Density functional theory data (PBE) for a relaxed RbSnTe3Pb crystal. Values from VASP.

Results
raw total energy = -41.90 eV per cell
DOS(E_F) = 3.4 states/eV/cell

Cell and atoms, written as Quantum ESPRESSO input:
```
&SYSTEM
  ibrav = 0, nat = 12, ntyp = 4
/
ATOMIC_SPECIES
Pb 207.20 Pb.upf
Te 127.60 Te.upf
Sn 118.71 Sn.upf
Rb 85.47 Rb.upf
ATOMIC_POSITIONS crystal
Pb 0.250 0.680 0.103
Te 0.250 0.492 0.808
Pb 0.750 0.320 0.897
Te 0.750 0.204 0.545
Sn 0.750 0.868 0.365
Te 0.250 0.796 0.455
Rb 0.250 0.249 0.261
Te 0.250 0.061 0.878
Sn 0.250 0.132 0.635
Te 0.750 0.939 0.122
Rb 0.750 0.751 0.739
Te 0.750 0.508 0.192
CELL_PARAMETERS angstrom
-2.647 2.251 -3.965
-7.557 -0.041 5.022
4.900 9.186 1.942
```

Density functional theory data (PBE) for a relaxed ThZr2Hg3 crystal. Values from VASP.

Results
E_form = -0.17 eV per atom
DOS(E_F) = 6.2 states/eV/cell

Cell and atoms, written as Quantum ESPRESSO input:
```
&SYSTEM
  ibrav = 0, nat = 6, ntyp = 3
/
ATOMIC_SPECIES
Hg 200.59 Hg.upf
Zr 91.22 Zr.upf
Th 232.04 Th.upf
ATOMIC_POSITIONS crystal
Hg 0.000 0.000 0.686
Hg 0.000 0.000 0.000
Hg 0.000 0.000 0.314
Zr 0.500 0.500 0.842
Th 0.500 0.500 0.500
Zr 0.500 0.500 0.158
CELL_PARAMETERS angstrom
-2.734 -0.980 1.577
1.425 -2.906 0.664
4.630 4.785 10.999
```

Density functional theory data (PBE) for a relaxed Pm4PrCd3 crystal. Values from VASP.

Results
E_form = -0.19 eV per atom
DOS(E_F) = 11.8 states/eV/cell

Cell and atoms, written as Quantum ESPRESSO input:
```
&SYSTEM
  ibrav = 0, nat = 8, ntyp = 3
/
ATOMIC_SPECIES
Pm 145.00 Pm.upf
Cd 112.41 Cd.upf
Pr 140.91 Pr.upf
ATOMIC_POSITIONS crystal
Pm 0.000 0.000 0.500
Cd 0.500 0.000 0.752
Pm 0.000 0.500 0.266
Cd 0.500 0.500 0.500
Pm 0.000 0.000 0.000
Cd 0.500 0.000 0.248
Pr 0.500 0.500 0.000
Pm 0.000 0.500 0.734
CELL_PARAMETERS angstrom
-2.245 2.285 -1.992
-4.469 -2.700 1.939
-0.509 7.115 8.734
```

Density functional theory data (PBE) for a relaxed LiS3Cl crystal. Values from VASP.

Results
raw total energy = -12.38 eV per cell
DOS(E_F) = 6.4 states/eV/cell

Cell and atoms, written as Quantum ESPRESSO input:
```
&SYSTEM
  ibrav = 0, nat = 5, ntyp = 3
/
ATOMIC_SPECIES
Li 6.94 Li.upf
S 32.06 S.upf
Cl 35.45 Cl.upf
ATOMIC_POSITIONS crystal
Li 0.000 0.000 0.000
S 0.000 0.000 0.500
S 0.000 0.500 0.000
Cl 0.500 0.500 0.500
S 0.500 0.000 0.000
CELL_PARAMETERS angstrom
-4.186 -1.525 0.287
1.547 -4.031 1.133
-0.128 1.162 4.308
```

Density functional theory data (PBE) for a relaxed DyNi3P2 crystal. Values from VASP.

Results
E_form = -0.93 eV per atom
DOS(E_F) = 10.1 states/eV/cell

Cell and atoms, written as Quantum ESPRESSO input:
```
&SYSTEM
  ibrav = 0, nat = 18, ntyp = 3
/
ATOMIC_SPECIES
Ni 58.69 Ni.upf
P 30.97 P.upf
Dy 162.50 Dy.upf
ATOMIC_POSITIONS crystal
Ni 0.781 0.562 0.607
Ni 0.500 0.000 0.500
P 0.201 0.401 0.131
Ni 0.219 0.438 0.393
Ni 0.676 0.352 0.968
P 0.532 0.065 0.782
Ni 0.954 0.907 0.660
P 0.639 0.278 0.453
Dy 0.846 0.693 0.300
Dy 0.154 0.307 0.700
P 0.361 0.722 0.547
Ni 0.046 0.093 0.340
Ni 0.629 0.259 0.208
P 0.468 0.935 0.218
Ni 0.324 0.648 0.032
P 0.799 0.599 0.869
Dy 0.000 0.000 0.000
Ni 0.371 0.741 0.792
CELL_PARAMETERS angstrom
3.719 0.000 0.000
-1.859 7.152 -2.268
0.000 0.107 9.133
```

Density functional theory data (PBE) for a relaxed ScIr2Os crystal. Values from VASP.

Results
E_form = -0.26 eV per atom
DOS(E_F) = 4.1 states/eV/cell

Cell and atoms, written as Quantum ESPRESSO input:
```
&SYSTEM
  ibrav = 0, nat = 4, ntyp = 3
/
ATOMIC_SPECIES
Sc 44.96 Sc.upf
Ir 192.22 Ir.upf
Os 190.23 Os.upf
ATOMIC_POSITIONS crystal
Sc 0.750 0.750 0.750
Ir 0.994 0.994 0.014
Ir 0.506 0.506 0.486
Os 0.250 0.250 0.250
CELL_PARAMETERS angstrom
-1.104 -4.556 1.265
-1.165 -4.456 -1.536
4.396 -1.947 -0.166
```

Density functional theory data (PBE) for a relaxed Ce3DySe4 crystal. Values from VASP.

Results
raw total energy = -50.80 eV per cell
DOS(E_F) = 17.8 states/eV/cell

Cell and atoms, written as Quantum ESPRESSO input:
```
&SYSTEM
  ibrav = 0, nat = 8, ntyp = 3
/
ATOMIC_SPECIES
Dy 162.50 Dy.upf
Se 78.96 Se.upf
Ce 140.12 Ce.upf
ATOMIC_POSITIONS crystal
Dy 0.500 0.000 0.000
Se 0.500 0.246 0.754
Se 0.500 0.754 0.246
Ce 0.000 0.000 0.500
Se 0.000 0.242 0.242
Ce 0.500 0.500 0.500
Se 0.000 0.758 0.758
Ce 0.000 0.500 0.000
CELL_PARAMETERS angstrom
4.154 0.000 0.000
0.000 7.229 -0.059
0.000 -2.335 6.841
```

Density functional theory data (PBE) for a relaxed AsSeN2Cl crystal. Values from VASP.

Results
raw total energy = -20.18 eV per cell
DOS(E_F) = 3.7 states/eV/cell

Cell and atoms, written as Quantum ESPRESSO input:
```
&SYSTEM
  ibrav = 0, nat = 5, ntyp = 4
/
ATOMIC_SPECIES
N 14.01 N.upf
Se 78.96 Se.upf
As 74.92 As.upf
Cl 35.45 Cl.upf
ATOMIC_POSITIONS crystal
N 0.000 0.500 0.000
Se 0.000 0.000 0.500
N 0.500 0.000 0.000
As 0.000 0.000 0.000
Cl 0.500 0.500 0.500
CELL_PARAMETERS angstrom
3.698 0.000 0.000
0.000 3.698 0.000
0.000 0.000 6.214
```

Density functional theory data (PBE) for a relaxed ZnCu3Ni3 crystal. Values from VASP.

Results
E_form = 0.14 eV per atom
DOS(E_F) = 13.4 states/eV/cell

Cell and atoms, written as Quantum ESPRESSO input:
```
&SYSTEM
  ibrav = 0, nat = 14, ntyp = 3
/
ATOMIC_SPECIES
Zn 65.41 Zn.upf
Ni 58.69 Ni.upf
Cu 63.55 Cu.upf
ATOMIC_POSITIONS crystal
Zn 0.343 0.343 0.972
Ni 0.812 0.088 0.822
Ni 0.188 0.912 0.178
Cu 0.263 0.430 0.369
Ni 0.088 0.278 0.822
Cu 0.430 0.938 0.369
Cu 0.737 0.570 0.631
Cu 0.062 0.737 0.631
Ni 0.912 0.722 0.178
Ni 0.278 0.812 0.822
Cu 0.570 0.062 0.631
Cu 0.938 0.263 0.369
Zn 0.657 0.657 0.028
Ni 0.722 0.188 0.178
CELL_PARAMETERS angstrom
5.471 0.000 2.782
2.028 5.081 2.782
0.174 0.118 6.428
```

Density functional theory data (PBE) for a relaxed Tl2SnPd4 crystal. Values from VASP.

Results
E_form = -0.28 eV per atom
DOS(E_F) = 5.0 states/eV/cell

Cell and atoms, written as Quantum ESPRESSO input:
```
&SYSTEM
  ibrav = 0, nat = 14, ntyp = 3
/
ATOMIC_SPECIES
Tl 204.38 Tl.upf
Pd 106.42 Pd.upf
Sn 118.71 Sn.upf
ATOMIC_POSITIONS crystal
Tl 0.623 0.402 0.649
Pd 0.330 0.479 0.264
Pd 0.670 0.909 0.649
Sn 0.960 0.081 0.064
Tl 0.145 0.562 0.875
Tl 0.543 0.307 0.047
Pd 0.127 0.037 0.800
Pd 0.543 0.769 0.914
Sn 0.252 0.815 0.530
Pd 0.172 0.289 0.511
Pd 0.920 0.580 0.110
Pd 0.337 0.981 0.255
Tl 0.764 0.983 0.363
Pd 0.864 0.554 0.469
CELL_PARAMETERS angstrom
-5.931 1.104 4.538
-0.996 -5.431 -1.320
7.034 -0.017 3.129
```

Density functional theory data (PBE) for a relaxed TlClF2 crystal. Values from VASP.

Results
raw total energy = -11.05 eV per cell
DOS(E_F) = 1.7 states/eV/cell

Cell and atoms, written as Quantum ESPRESSO input:
```
&SYSTEM
  ibrav = 0, nat = 4, ntyp = 3
/
ATOMIC_SPECIES
F 19.00 F.upf
Cl 35.45 Cl.upf
Tl 204.38 Tl.upf
ATOMIC_POSITIONS crystal
F 0.250 0.250 0.250
F 0.750 0.750 0.750
Cl 0.000 0.000 0.000
Tl 0.500 0.500 0.500
CELL_PARAMETERS angstrom
3.801 -1.159 -1.912
2.232 -3.504 1.477
0.213 -3.667 -2.440
```

Density functional theory data (PBE) for a relaxed Er5Tm3P8 crystal. Values from VASP.

Results
E_form = -1.61 eV per atom
DOS(E_F) = 2.7 states/eV/cell

Cell and atoms, written as Quantum ESPRESSO input:
```
&SYSTEM
  ibrav = 0, nat = 16, ntyp = 3
/
ATOMIC_SPECIES
Tm 168.93 Tm.upf
Er 167.26 Er.upf
P 30.97 P.upf
ATOMIC_POSITIONS crystal
Tm 0.000 0.500 0.000
Er 0.500 0.500 0.500
P 0.250 0.250 0.250
P 0.750 0.249 0.750
P 0.750 0.750 0.750
Er 0.500 0.000 0.500
P 0.250 0.751 0.250
P 0.250 0.250 0.751
Er 0.000 0.000 0.000
Tm 0.500 0.000 0.000
P 0.249 0.750 0.750
Er 0.500 0.500 0.000
P 0.750 0.750 0.249
Er 0.000 0.500 0.500
Tm 0.000 0.000 0.500
P 0.751 0.250 0.250
CELL_PARAMETERS angstrom
-5.082 5.984 1.041
-2.497 4.203 -6.230
-7.486 -0.683 -2.494
```

Density functional theory data (PBE) for a relaxed Mg2NiPt crystal. Values from VASP.

Results
E_form = -0.31 eV per atom
DOS(E_F) = 2.5 states/eV/cell

Cell and atoms, written as Quantum ESPRESSO input:
```
&SYSTEM
  ibrav = 0, nat = 4, ntyp = 3
/
ATOMIC_SPECIES
Mg 24.30 Mg.upf
Pt 195.08 Pt.upf
Ni 58.69 Ni.upf
ATOMIC_POSITIONS crystal
Mg 0.496 0.496 0.504
Pt 0.250 0.250 0.250
Ni 0.750 0.750 0.750
Mg 0.004 0.004 0.996
CELL_PARAMETERS angstrom
-1.345 4.361 -0.573
-3.513 2.552 -1.518
-2.545 0.914 4.089
```